Record 1
This record from the Alexandria database describes crystalline Cd4FeCl at its relaxed geometry. The functional is GGA-PBEsol.

E_form (uncorrected)   0.450 eV/atom
D(E_F)   7.6 states/eV per cell
Symmetry   F-43m, No. 216

Cell lengths 5.6515, 5.6515, 5.6515 Å; angles 60.00, 60.00, 60.00 degrees
Last column: nearest neighbours and their distance in Å.
Fractional coordinates of all 6 atoms:
1 Cd 0.8768 0.3744 0.3744  6 Cd 2.81-2.84
2 Cd 0.3744 0.3744 0.8768  6 Cd 2.81-2.84
3 Fe 0.0000 0.0000 0.0000  12 Cd 3.31, 4 Cl 3.46
4 Cl 0.7500 0.7500 0.7500  12 Cd 3.31, 4 Fe 3.46
5 Cd 0.3744 0.8768 0.3744  6 Cd 2.81-2.84
6 Cd 0.3744 0.3744 0.3744  6 Cd 2.81-2.84

---

Record 2
This record from the Alexandria database describes crystalline CdFeCl3 at its relaxed geometry. The functional is GGA-PBEsol.

E_form (uncorrected)   -0.399 eV/atom
D(E_F)   4.0 states/eV per cell
Symmetry   Pm-3m, No. 221

Cell lengths 4.7221, 4.7221, 4.7221 Å; angles 90.00, 90.00, 90.00 degrees
Last column: nearest neighbours and their distance in Å.
Fractional coordinates of all 5 atoms:
1 Cl 0.0000 0.5000 0.0000  2 Fe 2.36
2 Cl 0.5000 0.0000 0.0000  2 Fe 2.36
3 Cl 0.0000 0.0000 0.5000  2 Fe 2.36
4 Cd 0.5000 0.5000 0.5000  12 Cl 3.34
5 Fe 0.0000 0.0000 0.0000  6 Cl 2.36